Entry 1:
Here is a geometry-optimized Dy5Er4Tm structure from Alexandria via LeMat-Bulk. Energies are from PBE.

Cell lengths 7.7835, 7.7835, 7.7835 Å; angles 99.23, 99.23, 132.78 degrees
Element x y z (fractional)
Dy 0.0000 0.0000 0.0000
Dy 0.0395 0.4167 0.9144
Dy 0.1250 0.0395 0.6228
Dy 0.4167 0.5023 0.3772
Dy 0.5023 0.1250 0.0856
Er 0.1145 0.7226 0.2982
Er 0.4244 0.8163 0.7018
Er 0.7226 0.4244 0.6081
Er 0.8163 0.1145 0.3919
Tm 0.5395 0.5395 0.0000

Values from the calculation:
**Calculated volume**: 317 Å³ per cell
**Calculated formation energy**: 3.12 eV/f.u.
**Space group**: No. 79
**Final energy**: -4.26 eV/atom
**Offset from the most stable computed form**: 2.55 eV/f.u.



Entry 2:
Here is a geometry-optimized NaSiSeN2 structure from Alexandria via LeMat-Bulk. Energies are from PBE.

Cell lengths 3.6428, 3.6428, 5.3296 Å; angles 90.00, 90.00, 90.00 degrees
Element x y z (fractional)
Na 0.0000 0.0000 0.0000
Si 0.5000 0.5000 0.5000
Se 0.5000 0.5000 0.0000
N 0.0000 0.5000 0.5000
N 0.5000 0.0000 0.5000

Values from the calculation:
**Calculated volume**: 71 Å³ per cell
**Space group**: No. 123
**E_form (uncorrected)**: 9.821 kcal/mol of atoms
**Final energy**: -4.95 eV/atom
**Offset from the most stable computed form**: 0.00 eV/f.u.



Entry 3:
Here is a geometry-optimized NiSbP2 structure from Alexandria via LeMat-Bulk. Energies are from PBE.

Cell lengths 3.1071, 5.4809, 8.9030 Å; angles 90.00, 90.00, 90.00 degrees
Element x y z (fractional)
Ni 0.0000 0.0000 0.0000
Ni 0.5000 0.5000 0.5000
Sb 0.0000 0.5000 0.2589
Sb 0.5000 0.0000 0.7589
P 0.0000 0.0000 0.3694
P 0.0000 0.5000 0.6892
P 0.5000 0.0000 0.1892
P 0.5000 0.5000 0.8694

Values from the calculation:
**Calculated volume**: 152 Å³ per cell
**Space group**: No. 44
**E_form (uncorrected)**: 8.454 kcal/mol of atoms
**Final energy**: -4.81 eV/atom



Entry 4:
Here is a geometry-optimized NaMnPt2 structure from Alexandria via LeMat-Bulk. Energies are from PBE.

Cell lengths 4.1449, 4.1449, 3.7240 Å; angles 90.00, 90.00, 90.00 degrees
Element x y z (fractional)
Na 0.0000 0.0000 0.0000
Mn 0.5000 0.5000 0.0000
Pt 0.0000 0.5000 0.5000
Pt 0.5000 0.0000 0.5000

Values from the calculation:
**Calculated volume**: 64 Å³ per cell
**Calculated formation energy**: -0.50 eV/f.u.
**Space group**: No. 123
**Final energy**: -5.77 eV/atom



Entry 5:
Here is a geometry-optimized Li2AlPd6 structure from Alexandria via LeMat-Bulk. Energies are from PBE.

Cell lengths 6.9699, 6.9699, 6.9699 Å; angles 145.86, 131.37, 60.75 degrees
Element x y z (fractional)
Li 0.1677 0.1677 0.0000
Li 0.8323 0.8323 0.0000
Al 0.5000 0.5000 0.0000
Pd 0.0801 0.3333 0.7468
Pd 0.2493 0.0000 0.2493
Pd 0.4135 0.6667 0.7468
Pd 0.5865 0.3333 0.2532
Pd 0.7507 0.0000 0.7507
Pd 0.9199 0.6667 0.2532

Values from the calculation:
**Calculated volume**: 141 Å³ per cell
**Calculated formation energy**: -2.11 eV/f.u.
**Space group**: No. 71
**Final energy**: -4.54 eV/atom



Entry 6:
Here is a geometry-optimized ReSiSCl2 structure from Alexandria via LeMat-Bulk. Energies are from PBE.

Cell lengths 4.7854, 4.7854, 4.8036 Å; angles 90.00, 90.00, 90.00 degrees
Element x y z (fractional)
Re 0.0000 0.0000 0.0000
Si 0.5000 0.5000 0.5000
S 0.5000 0.5000 0.0000
Cl 0.0000 0.5000 0.5000
Cl 0.5000 0.0000 0.5000

Values from the calculation:
**Calculated volume**: 110 Å³ per cell
**Space group**: No. 123
**E_form (uncorrected)**: 21.338 kcal/mol of atoms
**Final energy**: -4.21 eV/atom
**Offset from the most stable computed form**: 1.63 eV/f.u.



Entry 7:
Here is a geometry-optimized LaYGeAs2 structure from Alexandria via LeMat-Bulk. Energies are from PBE.

Cell lengths 5.5128, 5.5128, 5.9455 Å; angles 90.00, 90.00, 90.00 degrees
Element x y z (fractional)
La 0.0000 0.0000 0.0000
Y 0.0000 0.0000 0.5000
Ge 0.5000 0.5000 0.5000
As 0.0000 0.5000 0.0000
As 0.5000 0.0000 0.0000

Values from the calculation:
**Calculated volume**: 181 Å³ per cell
**Calculated formation energy**: 4.04 eV/f.u.
**Space group**: No. 123
**Final energy**: -4.25 eV/atom
**Offset from the most stable computed form**: 3.38 eV/f.u.



Entry 8:
Here is a geometry-optimized Pr12Tl4HgO3 structure from Alexandria via LeMat-Bulk. Energies are from PBE.

Cell lengths 9.0722, 9.0722, 9.0722 Å; angles 109.47, 109.47, 109.47 degrees
Element x y z (fractional)
Pr 0.0000 0.2734 0.2734
Pr 0.0000 0.7266 0.7266
Pr 0.2500 0.5000 0.7500
Pr 0.2500 0.7500 0.5000
Pr 0.2734 0.0000 0.2734
Pr 0.2734 0.2734 0.0000
Pr 0.5000 0.2500 0.7500
Pr 0.5000 0.7500 0.2500
Pr 0.7266 0.0000 0.7266
Pr 0.7266 0.7266 0.0000
Pr 0.7500 0.2500 0.5000
Pr 0.7500 0.5000 0.2500
Tl 0.0000 0.0000 0.5000
Tl 0.0000 0.5000 0.0000
Tl 0.5000 0.0000 0.0000
Tl 0.5000 0.5000 0.5000
Hg 0.0000 0.0000 0.0000
O 0.0000 0.5000 0.5000
O 0.5000 0.0000 0.5000
O 0.5000 0.5000 0.0000

Values from the calculation:
**Calculated volume**: 575 Å³ per cell
**Space group**: No. 229
**E_form (uncorrected)**: -20.856 kcal/mol of atoms
**Final energy**: -5.00 eV/atom



Entry 9:
Here is a geometry-optimized RbTl2Ga structure from Alexandria via LeMat-Bulk. Energies are from PBE.

Cell lengths 4.7931, 4.7931, 22.1615 Å; angles 90.00, 90.00, 120.00 degrees
Element x y z (fractional)
Rb 0.0000 0.0000 0.0000
Rb 0.3333 0.6667 0.6667
Rb 0.6667 0.3333 0.3333
Tl 0.0000 0.0000 0.2148
Tl 0.0000 0.0000 0.4483
Tl 0.3333 0.6667 0.1150
Tl 0.3333 0.6667 0.8814
Tl 0.6667 0.3333 0.5481
Tl 0.6667 0.3333 0.7816
Ga 0.0000 0.0000 0.8221
Ga 0.3333 0.6667 0.4887
Ga 0.6667 0.3333 0.1554

Values from the calculation:
**Calculated volume**: 441 Å³ per cell
**Calculated formation energy**: -0.21 eV/f.u.
**Space group**: No. 160
**Final energy**: -2.23 eV/atom
**Offset from the most stable computed form**: 0.02 eV/f.u.



Entry 10:
Here is a geometry-optimized LiPt2W structure from Alexandria via LeMat-Bulk. Energies are from PBE.

Cell lengths 3.9592, 3.9592, 3.7801 Å; angles 90.00, 90.00, 90.00 degrees
Element x y z (fractional)
Li 0.0000 0.0000 0.0000
Pt 0.0000 0.5000 0.5000
Pt 0.5000 0.0000 0.5000
W 0.5000 0.5000 0.0000

Values from the calculation:
**Calculated volume**: 59 Å³ per cell
**Calculated formation energy**: -0.19 eV/f.u.
**Space group**: No. 123
**Final energy**: -6.78 eV/atom



Entry 11:
Here is a geometry-optimized HgBi2AsH structure from Alexandria via LeMat-Bulk. Energies are from PBE.

Cell lengths 5.8872, 5.8872, 3.4723 Å; angles 90.00, 90.00, 90.00 degrees
Element x y z (fractional)
Hg 0.0000 0.0000 0.0000
Bi 0.0000 0.5000 0.5000
Bi 0.5000 0.0000 0.5000
As 0.5000 0.5000 0.5000
H 0.5000 0.5000 0.0000

Values from the calculation:
**Calculated volume**: 120 Å³ per cell
**Space group**: No. 123
**Final energy**: -3.02 eV/atom



Entry 12:
Here is a geometry-optimized TlSnHg4 structure from Alexandria via LeMat-Bulk. Energies are from PBE.

Cell lengths 3.3946, 4.7165, 10.2231 Å; angles 90.00, 94.71, 90.00 degrees
Element x y z (fractional)
Tl 0.0000 0.0000 0.0000
Sn 0.5000 0.5000 0.5000
Hg 0.0318 0.0000 0.3379
Hg 0.4614 0.5000 0.8210
Hg 0.5386 0.5000 0.1790
Hg 0.9682 0.0000 0.6621

Values from the calculation:
**Calculated volume**: 163 Å³ per cell
**Calculated formation energy**: 0.25 eV/f.u.
**Space group**: No. 10
**Final energy**: -1.22 eV/atom
**Offset from the most stable computed form**: 0.00 eV/f.u.